Density functional theory data (GGA-PBE) for a relaxed Tb6CoAg2 crystal.

## Properties
* calculated total energy: -41.839 eV/f.u.
* calculated density: 8.24 g cm⁻³

abc: 6.718 7.339 10.052
angles: 90.00 87.53 90.00
Fractional positions:
Tb  0.881  0.987  0.252
Ag  0.552  0.897  0.754
Tb  0.619  0.487  0.248
Tb  0.317  0.810  0.051
Tb  0.669  0.185  0.554
Co  0.500  0.500  0.000
Tb  0.831  0.685  0.946
Ag  0.948  0.397  0.746
Tb  0.331  0.815  0.446
Tb  0.119  0.013  0.748
Co  0.000  0.000  0.500
Tb  0.683  0.190  0.949
Tb  0.817  0.690  0.551
Tb  0.169  0.315  0.054
Ag  0.448  0.103  0.246
Tb  0.381  0.513  0.752
Ag  0.052  0.603  0.254
Tb  0.183  0.310  0.449